1.
## Ba2Ni12Ge7 (PBE)

Data for crystalline Ba2Ni12Ge7 at its relaxed geometry.

## Properties
Crystal system = hexagonal
Size of the total moment = 0.00 Bohr magnetons per cell
E = -5.312 eV per atom
E_form = -286.2 meV per atom
Theoretical density = 7.81 g cm⁻³

```
Ba2Ni12Ge7
1.0
9.640 0.000 0.000
-4.820 8.348 0.000
0.000 0.000 3.928
Ba Ni Ge
2 12 7
Direct
0.000 0.000 0.000 Ba
0.333 0.667 0.500 Ba
0.024 0.283 0.500 Ni
0.125 0.749 0.000 Ni
0.251 0.376 0.000 Ni
0.259 0.976 0.500 Ni
0.390 0.202 0.000 Ni
0.570 0.144 0.500 Ni
0.574 0.430 0.500 Ni
0.624 0.875 0.000 Ni
0.717 0.741 0.500 Ni
0.798 0.188 0.000 Ni
0.812 0.610 0.000 Ni
0.856 0.426 0.500 Ni
0.036 0.446 0.000 Ge
0.281 0.257 0.500 Ge
0.410 0.964 0.000 Ge
0.554 0.590 0.000 Ge
0.667 0.333 0.000 Ge
0.743 0.024 0.500 Ge
0.976 0.719 0.500 Ge
```



2.
## NbPAuCl2 (PBE)

Data for crystalline NbPAuCl2 at its relaxed geometry.

## Properties
Crystal system = tetragonal
Size of the total moment = 0.00 Bohr magnetons per cell
E = -4.480 eV per atom
E above lowest polymorph = 0 meV/atom
Theoretical density = 5.66 g cm⁻³

```
NbPAuCl2
1.0
4.741 0.000 0.000
0.000 4.741 0.000
0.000 0.000 5.110
Nb P Au Cl
1 1 1 2
Direct
0.000 0.000 0.000 Nb
0.000 0.000 0.500 P
0.500 0.500 0.500 Au
0.000 0.500 0.000 Cl
0.500 0.000 0.000 Cl
```



3.
## TaBeH2Se (PBE)

Data for crystalline TaBeH2Se at its relaxed geometry.

## Properties
Crystal system = tetragonal
Size of the total moment = 0.00 Bohr magnetons per cell
E = -4.796 eV per atom
Theoretical density = 6.98 g cm⁻³

```
TaBeH2Se
1.0
3.549 0.000 0.000
0.000 3.549 0.000
0.000 0.000 5.118
Ta Be H Se
1 1 2 1
Direct
0.000 0.000 0.000 Ta
0.500 0.500 0.500 Be
0.000 0.500 0.000 H
0.500 0.000 0.000 H
0.000 0.000 0.500 Se
```



4.
## Cr2PbCl (PBE)

Data for crystalline Cr2PbCl at its relaxed geometry.

## Properties
Crystal system = tetragonal
Size of the total moment = 0.72 Bohr magnetons per cell
E = -6.135 eV per atom
E above lowest polymorph = 0 meV/atom
Theoretical density = 6.67 g cm⁻³

```
Cr2PbCl
1.0
3.318 0.000 0.000
0.000 3.318 0.000
0.000 0.000 7.833
Cr Pb Cl
2 1 1
Direct
0.000 0.000 0.000 Cr
0.500 0.500 0.142 Cr
0.000 0.000 0.389 Pb
0.500 0.500 0.824 Cl
```